{
  "formula": "ZnAuCl",
  "functional": "GGA-PBE",
  "state": "optimized geometry",
  "cell": [[3.602, 0.000, 0.000], [0.000, 4.133, 0.000], [0.000, 0.000, 20.151]],
  "species": ["Zn", "Zn", "Zn", "Zn", "Au", "Au", "Au", "Au", "Cl", "Cl", "Cl", "Cl"],
  "fractional_positions": [[0.000, 0.000, 0.099], [0.000, 0.000, 0.901], [0.500, 0.500, 0.401], [0.500, 0.500, 0.599], [0.000, 0.500, 0.000], [0.000, 0.500, 0.500], [0.500, 0.000, 0.000], [0.500, 0.000, 0.500], [0.000, 0.500, 0.326], [0.000, 0.500, 0.674], [0.500, 0.000, 0.174], [0.500, 0.000, 0.826]],
  "polymorph_energy_mev_per_atom": 41,
  "formation_energy_uncorrected_ev_per_atom": -0.490
}

{
  "formula": "CdSn2Pd2",
  "functional": "GGA-PBE",
  "state": "optimized geometry",
  "cell": [[8.119, 0.000, 0.000], [0.000, 8.119, 0.000], [0.000, 0.000, 3.128]],
  "species": ["Cd", "Cd", "Sn", "Sn", "Sn", "Sn", "Pd", "Pd", "Pd", "Pd"],
  "fractional_positions": [[0.000, 0.000, 0.000], [0.500, 0.500, 0.000], [0.159, 0.341, 0.000], [0.341, 0.841, 0.000], [0.659, 0.159, 0.000], [0.841, 0.659, 0.000], [0.133, 0.633, 0.500], [0.367, 0.133, 0.500], [0.633, 0.867, 0.500], [0.867, 0.367, 0.500]],
  "polymorph_energy_mev_per_atom": 179,
  "delta_e_f_ev_per_atom": -0.237
}

{
  "formula": "AcUO2",
  "functional": "GGA-PBE",
  "state": "optimized geometry",
  "cell": [[4.046, 0.000, 0.000], [-2.023, 3.504, 0.000], [0.000, 0.000, 19.361]],
  "species": ["Ac", "Ac", "Ac", "U", "U", "U", "O", "O", "O", "O", "O", "O"],
  "fractional_positions": [[0.000, 0.000, 0.000], [0.333, 0.667, 0.667], [0.667, 0.333, 0.333], [0.000, 0.000, 0.500], [0.333, 0.667, 0.167], [0.667, 0.333, 0.833], [0.000, 0.000, 0.390], [0.000, 0.000, 0.610], [0.333, 0.667, 0.057], [0.333, 0.667, 0.277], [0.667, 0.333, 0.723], [0.667, 0.333, 0.943]],
  "formation_energy_uncorrected_ev_per_atom": -2.392
}

{
  "formula": "YMgF2",
  "functional": "GGA-PBE",
  "state": "optimized geometry",
  "cell": [[3.452, 0.000, 0.000], [-1.726, 2.990, 0.000], [0.000, 0.000, 19.657]],
  "species": ["Y", "Y", "Y", "Mg", "Mg", "Mg", "F", "F", "F", "F", "F", "F"],
  "fractional_positions": [[0.000, 0.000, 0.000], [0.333, 0.667, 0.667], [0.667, 0.333, 0.333], [0.000, 0.000, 0.500], [0.333, 0.667, 0.167], [0.667, 0.333, 0.833], [0.000, 0.000, 0.125], [0.000, 0.000, 0.875], [0.333, 0.667, 0.542], [0.333, 0.667, 0.791], [0.667, 0.333, 0.209], [0.667, 0.333, 0.458]],
  "polymorph_energy_mev_per_atom": 0,
  "formation_energy_uncorrected_ev_per_atom": -2.300
}

The evaluated calculated total energy for the records listed, in turn: -2.622 -4.099 -8.720 -5.250 eV/atom.